This record from the Alexandria database describes La6In3Ru after structural relaxation. The functional is PBE.

a = 5.769 Å, b = 9.367 Å, c = 12.975 Å
α = 90.00°, β = 115.92°, γ = 90.00°
Space group P2_1/c (No. 14)
Asymmetric unit:
La 0.024 0.149 0.064 [4 per cell]
La 0.310 0.513 0.267 [4 per cell]
La 0.429 0.194 0.444 [4 per cell]
In 0.000 0.000 0.500 [2 per cell]
In 0.217 0.647 0.758 [4 per cell]
Ru 0.500 0.000 0.000 [2 per cell]

=====

This record from the Alexandria database describes La7In2Ru2 after structural relaxation. The functional is PBE.

ΔE to the lowest computed polymorph   9 meV/atom

a = 8.392 Å, b = 11.644 Å, c = 7.272 Å
α = 90.00°, β = 90.00°, γ = 90.00°
Space group Cmmm (No. 65)
Asymmetric unit:
La 0.000 0.000 0.000 [2 per cell]
La 0.000 0.500 0.246 [4 per cell]
La 0.250 0.250 0.251 [8 per cell]
In 0.169 0.000 0.500 [4 per cell]
Ru 0.000 0.294 0.000 [4 per cell]

=====

This record from the Alexandria database describes La5InRu2 after structural relaxation. The functional is PBE.

a = 8.028 Å, b = 8.028 Å, c = 14.482 Å
α = 90.00°, β = 90.00°, γ = 90.00°
Space group I4/mcm (No. 140)
Asymmetric unit:
La 0.000 0.000 0.000 [4 per cell]
La 0.164 0.336 0.129 [16 per cell]
In 0.000 0.000 0.250 [4 per cell]
Ru 0.141 0.359 0.500 [8 per cell]

=====

This record from the Alexandria database describes La5InRu after structural relaxation. The functional is PBE.

ΔE to the lowest computed polymorph   35 meV/atom

a = 10.745 Å, b = 7.347 Å, c = 12.085 Å
α = 90.00°, β = 109.02°, γ = 90.00°
Space group C2/c (No. 15)
Asymmetric unit:
La 0.000 0.000 0.250 [4 per cell]
La 0.124 0.324 0.052 [8 per cell]
La 0.221 0.197 0.635 [8 per cell]
In 0.000 0.458 0.750 [4 per cell]
Ru 0.000 0.000 0.000 [4 per cell]

=====

This record from the Alexandria database describes La5In2Ru after structural relaxation. The functional is PBE.

ΔE to the lowest computed polymorph   304 meV/atom

a = 5.906 Å, b = 16.968 Å, c = 12.598 Å
α = 90.00°, β = 90.00°, γ = 90.00°
Space group Cmcm (No. 63)
Asymmetric unit:
La 0.000 0.063 0.101 [8 per cell]
La 0.000 0.288 0.079 [8 per cell]
La 0.000 0.312 0.750 [4 per cell]
In 0.000 0.134 0.635 [8 per cell]
Ru 0.000 0.173 0.250 [4 per cell]

=====

This record from the Alexandria database describes La5InRu after structural relaxation. The functional is PBE.

ΔE to the lowest computed polymorph   0 meV/atom

a = 5.071 Å, b = 5.071 Å, c = 8.358 Å
α = 90.00°, β = 90.00°, γ = 90.00°
Space group P4/mmm (No. 123)
Asymmetric unit:
La 0.000 0.000 0.000 [1 per cell]
La 0.000 0.500 0.301 [4 per cell]
In 0.500 0.500 0.000 [1 per cell]
Ru 0.000 0.000 0.500 [1 per cell]

=====

This record from the Alexandria database describes La6In2Ru after structural relaxation. The functional is PBE.

a = 3.968 Å, b = 15.677 Å, c = 9.052 Å
α = 90.00°, β = 90.00°, γ = 90.00°
Space group Amm2 (No. 38)
Asymmetric unit:
La 0.000 0.000 0.000 [2 per cell]
La 0.000 0.117 0.647 [4 per cell]
La 0.500 0.000 0.367 [2 per cell]
La 0.500 0.199 0.964 [4 per cell]
In 0.000 0.167 0.265 [4 per cell]
Ru 0.500 0.000 0.766 [2 per cell]

=====

This record from the Alexandria database describes La8InRu2 after structural relaxation. The functional is PBE.

a = 8.829 Å, b = 14.288 Å, c = 5.650 Å
α = 90.00°, β = 102.94°, γ = 90.00°
Space group C2/m (No. 12)
Asymmetric unit:
La 0.000 0.249 0.000 [4 per cell]
La 0.096 0.000 0.796 [4 per cell]
La 0.205 0.374 0.550 [8 per cell]
In 0.000 0.500 0.000 [2 per cell]
Ru 0.000 0.210 0.500 [4 per cell]

=====

This record from the Alexandria database describes La2InRu after structural relaxation. The functional is PBE.

a = 3.459 Å, b = 3.459 Å, c = 9.037 Å
α = 90.00°, β = 90.00°, γ = 90.00°
Space group P4mm (No. 99)
Asymmetric unit:
La 0.000 0.000 0.000 [1 per cell]
La 0.500 0.500 0.379 [1 per cell]
In 0.500 0.500 0.739 [1 per cell]
Ru 0.000 0.000 0.575 [1 per cell]

=====

This record from the Alexandria database describes La7InRu2 after structural relaxation. The functional is PBE.

a = 9.555 Å, b = 14.037 Å, c = 5.242 Å
α = 90.00°, β = 90.00°, γ = 90.00°
Space group Cmmm (No. 65)
Asymmetric unit:
La 0.000 0.000 0.000 [2 per cell]
La 0.000 0.211 0.500 [4 per cell]
La 0.179 0.371 0.000 [8 per cell]
In 0.000 0.500 0.500 [2 per cell]
Ru 0.000 0.192 0.000 [4 per cell]

=====

This record from the Alexandria database describes LaInRu2 after structural relaxation. The functional is PBE.

a = 3.0317 Å, b = 3.0317 Å, c = 29.7655 Å
α = 90.00°, β = 90.00°, γ = 120.00°
Space group R3m (No. 160, hexagonal axes)
Asymmetric unit:
La 0.0000 0.0000 0.0000 [3 per cell]
In 0.0000 0.0000 0.2315 [3 per cell]
Ru 0.0000 0.0000 0.4880 [3 per cell]
Ru 0.0000 0.0000 0.7565 [3 per cell]

=====

This record from the Alexandria database describes LaInRu2 after structural relaxation. The functional is PBE.

a = 4.488 Å, b = 4.488 Å, c = 17.456 Å
α = 90.00°, β = 90.00°, γ = 90.00°
Space group I-42d (No. 122)
Asymmetric unit:
La 0.000 0.000 0.000 [4 per cell]
In 0.000 0.000 0.500 [4 per cell]
Ru 0.214 0.250 0.125 [8 per cell]

=====

no.,final energy (eV/atom),spin magnetization (μB/f.u.)
1,-5.05,0.000
2,-5.60,0.000
3,-6.10,0.000
4,-5.45,0.000
5,-5.01,0.000
6,-5.49,0.000
7,-5.27,0.000
8,-5.73,0.000
9,-5.58,0.000
10,-5.75,0.000
11,-6.13,0.542
12,-6.11,0.000